# 1
6
Lattice="3.846 0.000 0.000 0.000 3.846 0.000 0.000 0.000 11.702" Properties=species:S:1:pos:R:3 comment="La3GaHg2 GGA-PBE optimized geometry" e_form_ev_per_fu=-3.16 magnetic_moment_mub_per_cell=0.38 volume_a3_per_atom=28.85 crystal_system=tetragonal sg=P4/mmm total_energy_ev_per_atom=-3.60 pbc="T T T"
La 0.000 0.000 0.000
La 0.000 0.000 7.650
La 0.000 0.000 4.052
Ga 1.923 1.923 5.851
Hg 1.923 1.923 9.694
Hg 1.923 1.923 2.008

=====

# 2
10
Lattice="-4.103 2.120 0.198 -1.994 -3.674 -1.974 -1.686 -4.143 9.415" Properties=species:S:1:pos:R:3 comment="Ac2Ni3Sn4Pt GGA-PBE optimized geometry" e_form_ev_per_fu=-6.17 magnetic_moment_mub_per_cell=0.00 volume_a3_per_atom=22.27 crystal_system=tetragonal sg=P-4m2 total_energy_ev_per_atom=-5.38 pbc="T T T"
Ac -2.486 -0.008 2.527
Ac -2.248 -4.911 6.000
Ni -0.843 -2.071 4.707
Ni -3.531 -2.575 8.359
Ni -1.204 -2.345 0.168
Sn -3.048 -0.777 -0.888
Sn 0.000 0.000 0.000
Sn -3.114 -1.551 6.034
Sn -1.620 -3.368 2.493
Pt -3.891 -2.848 3.820